# 1
Computed, not measured: an optimized crystal structure of Sc2TlI at the GGA-PBE level of DFT.

Lattice parameters (Å, degrees): 6.185 6.185 14.811 90.00 90.00 90.00
Space group I-42d (No. 122)
One atom of each set of equivalent atoms:
Sc  0.218  0.250  0.125 (multiplicity 8)
Tl  0.000  0.000  0.000 (multiplicity 4)
I  0.000  0.000  0.500 (multiplicity 4)

Summary:
**Raw formation energy**: 95 meV per atom
**DOS(E_F)**: 1.00 states/eV/f.u.
**ΔE to the lowest computed polymorph**: 268 meV/atom

# 2
Computed, not measured: an optimized crystal structure of BeSiP2 at the GGA-PBE level of DFT.

Lattice parameters (Å, degrees): 4.003 3.390 4.345 90.00 105.20 90.00
Space group P2/m (No. 10)
One atom of each set of equivalent atoms:
Be  0.000  0.000  0.000 (multiplicity 1)
Si  0.500  0.000  0.500 (multiplicity 1)
P  0.268  0.500  0.793 (multiplicity 2)

Summary:
**Raw formation energy**: 231 meV per atom
**DOS(E_F)**: 1.26 states/eV/f.u.
**ΔE to the lowest computed polymorph**: 609 meV/atom

# 3
Computed, not measured: an optimized crystal structure of ZrSc2In at the GGA-PBE level of DFT.

Lattice parameters (Å, degrees): 4.238 20.906 4.309 90.00 90.00 90.00
Space group Cmcm (No. 63)
One atom of each set of equivalent atoms:
Zr  0.000  0.191  0.250 (multiplicity 4)
Sc  0.000  0.062  0.750 (multiplicity 4)
Sc  0.000  0.436  0.750 (multiplicity 4)
In  0.000  0.333  0.250 (multiplicity 4)

Summary:
**Energy relative to the elements**: -0.0826 eV per atom
**DOS(E_F)**: 5.56 states/eV/f.u.

# 4
Computed, not measured: an optimized crystal structure of Gd2YPa at the GGA-PBE level of DFT.

Lattice parameters (Å, degrees): 3.423 3.423 10.208 90.00 90.00 90.00
Space group P4/mmm (No. 123)
One atom of each set of equivalent atoms:
Gd  0.000  0.000  0.230 (multiplicity 2)
Y  0.500  0.500  0.500 (multiplicity 1)
Pa  0.500  0.500  0.000 (multiplicity 1)

Summary:
**Energy relative to the elements**: 0.1279 eV per atom
**DOS(E_F)**: 6.51 states/eV/f.u.
**ΔE to the lowest computed polymorph**: 0 meV/atom

# 5
Computed, not measured: an optimized crystal structure of SbTe2IrN at the GGA-PBE level of DFT.

Lattice parameters (Å, degrees): 5.234 5.234 5.085 90.00 90.00 90.00
Space group P4/mmm (No. 123)
One atom of each set of equivalent atoms:
Sb  0.000  0.000  0.000 (multiplicity 1)
Te  0.000  0.500  0.500 (multiplicity 2)
Ir  0.000  0.000  0.500 (multiplicity 1)
N  0.500  0.500  0.000 (multiplicity 1)

Summary:
**Raw formation energy**: 1649 meV per atom
**DOS(E_F)**: 8.36 states/eV/f.u.
**ΔE to the lowest computed polymorph**: 1347 meV/atom

# 6
Computed, not measured: an optimized crystal structure of LaAl2Re at the GGA-PBE level of DFT.

Lattice parameters (Å, degrees): 2.924 4.384 13.639 90.00 90.00 90.00
Space group Imm2 (No. 44)
One atom of each set of equivalent atoms:
La  0.000  0.000  0.000 (multiplicity 2)
Al  0.000  0.000  0.359 (multiplicity 2)
Al  0.000  0.500  0.204 (multiplicity 2)
Re  0.000  0.500  0.705 (multiplicity 2)

Summary:
**Energy relative to the elements**: 0.0171 eV per atom
**DOS(E_F)**: 3.08 states/eV/f.u.
**ΔE to the lowest computed polymorph**: 189 meV/atom

# 7
Computed, not measured: an optimized crystal structure of Te2RhBr at the GGA-PBE level of DFT.

Lattice parameters (Å, degrees): 3.438 3.534 9.234 90.00 90.00 90.00
Space group Pmm2 (No. 25)
One atom of each set of equivalent atoms:
Te  0.000  0.000  0.000 (multiplicity 1)
Te  0.500  0.500  0.391 (multiplicity 1)
Rh  0.500  0.500  0.109 (multiplicity 1)
Br  0.000  0.000  0.712 (multiplicity 1)

Summary:
**Raw formation energy**: 31 meV per atom
**DOS(E_F)**: 3.73 states/eV/f.u.

# 8
Computed, not measured: an optimized crystal structure of Sm4Ho2Tl3H2 at the GGA-PBE level of DFT.

Lattice parameters (Å, degrees): 4.787 4.787 24.978 90.00 90.00 90.00
Space group I4/mmm (No. 139)
One atom of each set of equivalent atoms:
Sm  0.000  0.500  0.086 (multiplicity 8)
Ho  0.000  0.000  0.200 (multiplicity 4)
Tl  0.000  0.000  0.324 (multiplicity 4)
Tl  0.000  0.000  0.500 (multiplicity 2)
H  0.000  0.000  0.107 (multiplicity 4)

Summary:
**Uncorrected energy**: -44.73 eV per formula unit
**DOS(E_F)**: 8.93 states/eV/f.u.